Below is a relaxed AlZnAg2 crystal, with properties calculated at the GGA-PBE level.

POSCAR file:
```
AlZnAg2
1.0
4.3527 0.0000 0.0000
-2.1763 3.7695 0.0000
0.0000 0.0000 13.5109
Al Zn Ag
3 3 6
Cartesian
0.0000 0.0000 0.0000 Al
0.0000 2.5130 9.0073 Al
2.1763 1.2565 4.5036 Al
0.0000 0.0000 2.6713 Zn
0.0000 2.5130 11.6786 Zn
2.1763 1.2565 7.1750 Zn
0.0000 0.0000 7.9162 Ag
0.0000 0.0000 10.6600 Ag
0.0000 2.5130 3.4126 Ag
0.0000 2.5130 6.1564 Ag
2.1763 1.2565 1.6527 Ag
2.1763 1.2565 12.4198 Ag
```

- space-group type = R3m
- DFT total energy (eV/atom) = -2.61